(1)
## AlSiB3 (PBE)

Data for AlSiB3 after structural relaxation.

Computed properties:
crystal system: cubic
excess energy over the best structure of this formula in the dataset: 0.477 eV per atom
E_form (uncorrected): 1.94 eV/atom

Cell lengths 4.1293, 4.1293, 4.1293 Å; angles 90.00, 90.00, 90.00 degrees
With the nearest neighbours (Å) after each atom.
Space group Pm-3m (No. 221)
One atom of each set of equivalent atoms:
1 Al 0.0000 0.0000 0.0000 (multiplicity 1)  6 B 2.06
2 Si 0.5000 0.5000 0.5000 (multiplicity 1)  12 B 2.92
3 B 0.0000 0.0000 0.5000 (multiplicity 3)  2 Al 2.06



(2)
## Al2SiB (PBE)

Data for Al2SiB after structural relaxation.

Computed properties:
crystal system: cubic
excess energy over the best structure of this formula in the dataset: 0.069 eV per atom
E_form (uncorrected): 0.69 eV/atom

Cell lengths 6.0216, 6.0216, 6.0216 Å; angles 90.00, 90.00, 90.00 degrees
With the nearest neighbours (Å) after each atom.
Space group Fm-3m (No. 225)
One atom of each set of equivalent atoms:
1 Al 0.2500 0.2500 0.2500 (multiplicity 8)  4 B 2.61, 4 Si 2.61
2 Si 0.0000 0.0000 0.0000 (multiplicity 4)  8 Al 2.61
3 B 0.0000 0.0000 0.5000 (multiplicity 4)  8 Al 2.61



excess energy over the best structure of this formula in the dataset of number 2 (Al2SiB)? 0.069 eV per atom



Among the records above, which one has the highest excess energy over the best structure of this formula in the dataset? AlSiB3